1.
Entry from Alexandria via LeMat-Bulk: crystalline PIr3I at its relaxed geometry (PBE).

```
data_PIr3I
_chemical_formula_sum 'P1 Ir3 I1'
_space_group_name_H-M_alt 'P m -3 m'
_space_group_IT_number 221
_space_group_name_Hall '-P 4 2 3'
_cell_length_a 4.5262
_cell_length_b 4.5262
_cell_length_c 4.5262
_cell_angle_alpha 90.00
_cell_angle_beta 90.00
_cell_angle_gamma 90.00
loop_
_atom_site_label
_atom_site_type_symbol
_atom_site_fract_x
_atom_site_fract_y
_atom_site_fract_z
P1 P 0.0000 0.0000 0.0000
Ir1 Ir 0.0000 0.0000 0.5000
I1 I 0.5000 0.5000 0.5000
```

Raw total energy   -5.818 eV/atom
Formation energy (no corrections)   0.891 eV/atom
Relative energy among the computed polymorphs   0 meV/atom

=====

2.
Entry from Alexandria via LeMat-Bulk: crystalline P2Ir2I at its relaxed geometry (PBE).

```
data_P2Ir2I
_chemical_formula_sum 'P2 Ir2 I1'
_space_group_name_H-M_alt 'P 4/m m m'
_space_group_IT_number 123
_space_group_name_Hall '-P 4 2'
_cell_length_a 4.8680
_cell_length_b 4.8680
_cell_length_c 5.0624
_cell_angle_alpha 90.00
_cell_angle_beta 90.00
_cell_angle_gamma 90.00
loop_
_atom_site_label
_atom_site_type_symbol
_atom_site_fract_x
_atom_site_fract_y
_atom_site_fract_z
P1 P 0.0000 0.0000 0.0000
P2 P 0.5000 0.5000 0.0000
Ir1 Ir 0.0000 0.5000 0.5000
I1 I 0.0000 0.0000 0.5000
```

Raw total energy   -3.737 eV/atom
Formation energy (no corrections)   2.281 eV/atom

=====

3.
Entry from Alexandria via LeMat-Bulk: crystalline PIr2I at its relaxed geometry (PBE).

```
data_PIr2I
_chemical_formula_sum 'P4 Ir8 I4'
_space_group_name_H-M_alt 'F m -3 m'
_space_group_IT_number 225
_space_group_name_Hall '-F 4 2 3'
_cell_length_a 6.4699
_cell_length_b 6.4699
_cell_length_c 6.4699
_cell_angle_alpha 90.00
_cell_angle_beta 90.00
_cell_angle_gamma 90.00
loop_
_atom_site_label
_atom_site_type_symbol
_atom_site_fract_x
_atom_site_fract_y
_atom_site_fract_z
P1 P 0.0000 0.0000 0.0000
Ir1 Ir 0.2500 0.2500 0.2500
I1 I 0.0000 0.0000 0.5000
```

Raw total energy   -5.256 eV/atom
Formation energy (no corrections)   0.914 eV/atom
Relative energy among the computed polymorphs   661 meV/atom